Compound: Li4CePb
Source: Alexandria via LeMat-Bulk
Functional: PBE
Structure: optimized geometry

a b c (Å): 8.048 8.048 8.048
angles (deg): 90.00 90.00 90.00
Space group F-43m (No. 216)
Unique sites:
Li 0.125 0.125 0.125 x16
Ce 0.000 0.000 0.500 x4
Pb 0.250 0.250 0.750 x4

Values from the calculation:
**Final energy**: -70.31 eV for the cell shown
**Energy of formation from the pure elements**: -47 meV per atom
**DOS at the Fermi energy**: 43.36 states/eV/cell
**Crystal system**: cubic
**Size of the total moment**: 7.74 Bohr magnetons per cell